A geometry-optimized Li2VP2O8 structure, computed with GGA-PBEsol.

Cell lengths 8.3142, 8.3142, 7.2163 Å; angles 90.00, 90.00, 120.00 degrees
Positions (direct):
Li1 0.0424 0.3478 0.1327
Li2 0.3054 0.9576 0.1327
Li3 0.3478 0.3054 0.8673
Li4 0.6522 0.6946 0.1327
Li5 0.6946 0.0424 0.8673
Li6 0.9576 0.6522 0.8673
V1 0.0000 0.0000 0.5000
V2 0.3333 0.6667 0.4148
V3 0.6667 0.3333 0.5852
P1 0.0406 0.3497 0.7190
P2 0.3091 0.9594 0.7190
P3 0.3497 0.3091 0.2810
P4 0.6503 0.6909 0.7190
P5 0.6909 0.0406 0.2810
P6 0.9594 0.6503 0.2810
O1 0.0642 0.8586 0.3414
O2 0.1168 0.6026 0.2487
O3 0.1414 0.2056 0.3414
O4 0.1515 0.3731 0.8932
O5 0.1676 0.4675 0.5596
O6 0.2056 0.0642 0.6586
O7 0.2216 0.8485 0.8932
O8 0.2999 0.8324 0.5596
O9 0.3731 0.2216 0.1068
O10 0.3974 0.5141 0.2487
O11 0.4675 0.2999 0.4404
O12 0.4859 0.8832 0.2487
O13 0.5141 0.1168 0.7513
O14 0.5325 0.7001 0.5596
O15 0.6026 0.4859 0.7513
O16 0.6269 0.7784 0.8932
O17 0.7001 0.1676 0.4404
O18 0.7784 0.1515 0.1068
O19 0.7944 0.9358 0.3414
O20 0.8324 0.5325 0.4404
O21 0.8485 0.6269 0.1068
O22 0.8586 0.7944 0.6586
O23 0.8832 0.3974 0.7513
O24 0.9358 0.1414 0.6586

Calculated values
Its space group is P-3. The value obtained for the offset from the most stable computed form is 0.034 eV/f.u. The calculation puts the uncorrected formation energy at -2301 meV/atom.



A geometry-optimized LiVPO5 structure, computed with GGA-PBEsol.

Cell lengths 5.1844, 5.9270, 7.1021 Å; angles 107.48, 109.92, 98.73 degrees
Positions (direct):
Li1 0.1101 0.3392 0.0864
Li2 0.8899 0.6608 0.9136
V1 0.3557 0.9044 0.7911
V2 0.6443 0.0956 0.2089
P1 0.2162 0.3516 0.6741
P2 0.7838 0.6484 0.3259
O1 0.0194 0.2509 0.4305
O2 0.0613 0.3940 0.8210
O3 0.2474 0.9613 0.9996
O4 0.4010 0.1705 0.7095
O5 0.4442 0.5968 0.7274
O6 0.5558 0.4032 0.2726
O7 0.5990 0.8295 0.2905
O8 0.7526 0.0387 0.0004
O9 0.9387 0.6060 0.1790
O10 0.9806 0.7491 0.5695

Calculated values
Its space group is P-1. The value obtained for the offset from the most stable computed form is 0.222 eV/f.u. The calculation puts the uncorrected formation energy at -2305 meV/atom.



A geometry-optimized LiVPO4 structure, computed with GGA-PBEsol.

Cell lengths 10.2282, 5.9735, 4.6648 Å; angles 90.00, 90.00, 90.00 degrees
Positions (direct):
Li1 0.0000 0.0000 0.0000
Li2 0.0000 0.5000 0.0000
Li3 0.5000 0.0000 0.5000
Li4 0.5000 0.5000 0.5000
V1 0.2268 0.2500 0.4846
V2 0.2732 0.7500 0.9846
V3 0.7268 0.2500 0.0154
V4 0.7732 0.7500 0.5154
P1 0.0923 0.7500 0.4184
P2 0.4077 0.2500 0.9184
P3 0.5923 0.7500 0.0816
P4 0.9077 0.2500 0.5816
O1 0.0480 0.2500 0.7055
O2 0.0947 0.7500 0.7468
O3 0.1639 0.5440 0.2792
O4 0.1639 0.9560 0.2792
O5 0.3361 0.0440 0.7792
O6 0.3361 0.4560 0.7792
O7 0.4053 0.2500 0.2468
O8 0.4520 0.7500 0.2055
O9 0.5480 0.2500 0.7945
O10 0.5947 0.7500 0.7532
O11 0.6639 0.5440 0.2208
O12 0.6639 0.9560 0.2208
O13 0.8361 0.0440 0.7208
O14 0.8361 0.4560 0.7208
O15 0.9053 0.2500 0.2532
O16 0.9520 0.7500 0.2945

Calculated values
Its space group is Pnma. The value obtained for the offset from the most stable computed form is 0.021 eV/f.u. The calculation puts the uncorrected formation energy at -2147 meV/atom.



A geometry-optimized Li4VP2O9 structure, computed with GGA-PBEsol.

Cell lengths 15.6309, 5.4215, 8.4207 Å; angles 90.00, 90.00, 90.00 degrees
Positions (direct):
Li1 0.0599 0.2200 0.0000
Li2 0.1199 0.8364 0.1593
Li3 0.1382 0.6616 0.4231
Li4 0.1891 0.1965 0.5739
Li5 0.3109 0.6965 0.0739
Li6 0.3618 0.1616 0.9231
Li7 0.3801 0.3364 0.6593
Li8 0.4401 0.7200 0.5000
Li9 0.5599 0.2800 0.0000
Li10 0.6199 0.6636 0.1593
Li11 0.6382 0.8384 0.4231
Li12 0.6891 0.3035 0.5739
Li13 0.8109 0.8035 0.0739
Li14 0.8618 0.3384 0.9231
Li15 0.8801 0.1636 0.6593
Li16 0.9401 0.7800 0.5000
V1 0.1216 0.6514 0.7926
V2 0.3784 0.1514 0.2926
V3 0.6216 0.8486 0.7926
V4 0.8784 0.3486 0.2926
P1 0.0289 0.1684 0.3705
P2 0.2273 0.3266 0.2107
P3 0.2727 0.8266 0.7107
P4 0.4711 0.6684 0.8705
P5 0.5289 0.3316 0.3705
P6 0.7273 0.1734 0.2107
P7 0.7727 0.6734 0.7107
P8 0.9711 0.8316 0.8705
O1 0.0072 0.7352 0.7068
O2 0.0531 0.8960 0.3621
O3 0.0600 0.8097 0.9650
O4 0.0950 0.3337 0.4479
O5 0.1217 0.3517 0.7999
O6 0.1617 0.1602 0.1351
O7 0.1835 0.8051 0.6157
O8 0.2031 0.5995 0.2166
O9 0.2366 0.7355 0.8755
O10 0.2634 0.2355 0.3755
O11 0.2969 0.0995 0.7166
O12 0.3165 0.3051 0.1157
O13 0.3383 0.6602 0.6351
O14 0.3783 0.8517 0.2999
O15 0.4050 0.8337 0.9479
O16 0.4400 0.3097 0.4650
O17 0.4469 0.3960 0.8621
O18 0.4928 0.2352 0.2068
O19 0.5072 0.7648 0.7068
O20 0.5531 0.6040 0.3621
O21 0.5600 0.6903 0.9650
O22 0.5950 0.1663 0.4479
O23 0.6217 0.1483 0.7999
O24 0.6617 0.3398 0.1351
O25 0.6835 0.6949 0.6157
O26 0.7031 0.9005 0.2166
O27 0.7366 0.7645 0.8755
O28 0.7634 0.2645 0.3755
O29 0.7969 0.4005 0.7166
O30 0.8165 0.1949 0.1157
O31 0.8383 0.8398 0.6351
O32 0.8783 0.6483 0.2999
O33 0.9050 0.6663 0.9479
O34 0.9400 0.1903 0.4650
O35 0.9469 0.1040 0.8621
O36 0.9928 0.2648 0.2068

Calculated values
Its space group is Pna2_1. The value obtained for the offset from the most stable computed form is 0.096 eV/f.u. The calculation puts the uncorrected formation energy at -2326 meV/atom.



A geometry-optimized LiVP2O7 structure, computed with GGA-PBEsol.

Cell lengths 5.1863, 5.1863, 4.5011 Å; angles 98.29, 98.29, 102.65 degrees
Positions (direct):
Li1 0.0000 0.0000 0.0000
V1 0.6272 0.3728 0.0000
P1 0.0805 0.5021 0.5893
P2 0.4979 0.9195 0.4107
O1 0.2177 0.7823 0.5000
O2 0.2896 0.3779 0.7427
O3 0.4050 0.1002 0.1964
O4 0.6221 0.7104 0.2573
O5 0.6809 0.0668 0.7139
O6 0.8998 0.5950 0.8036
O7 0.9332 0.3191 0.2861

Calculated values
Its space group is C2. The calculation puts the uncorrected formation energy at -2276 meV/atom.



A geometry-optimized Li2VP4O13 structure, computed with GGA-PBEsol.

Cell lengths 5.0215, 7.7848, 12.9655 Å; angles 74.81, 89.74, 81.62 degrees
Positions (direct):
Li1 0.0027 0.2296 0.4937
Li2 0.3939 0.1843 0.9677
Li3 0.6061 0.8157 0.0323
Li4 0.9973 0.7704 0.5063
V1 0.0453 0.4765 0.7465
V2 0.9547 0.5235 0.2535
P1 0.1474 0.9114 0.1719
P2 0.1678 0.8792 0.6960
P3 0.4244 0.6559 0.3665
P4 0.4821 0.3796 0.1461
P5 0.5179 0.6204 0.8539
P6 0.5756 0.3441 0.6335
P7 0.8322 0.1208 0.3040
P8 0.8526 0.0886 0.8281
O1 0.0120 0.9162 0.7987
O2 0.0377 0.7313 0.6658
O3 0.0483 0.2232 0.8258
O4 0.1726 0.0432 0.6081
O5 0.1803 0.4485 0.1554
O6 0.2563 0.5201 0.3416
O7 0.2722 0.4068 0.6447
O8 0.2854 0.9724 0.0702
O9 0.3522 0.4774 0.8353
O10 0.3571 0.7056 0.4674
O11 0.3661 0.8342 0.2664
O12 0.4565 0.6888 0.9487
O13 0.4580 0.7907 0.7465
O14 0.5420 0.2093 0.2535
O15 0.5435 0.3112 0.0513
O16 0.6339 0.1658 0.7336
O17 0.6429 0.2944 0.5326
O18 0.6478 0.5226 0.1647
O19 0.7146 0.0276 0.9298
O20 0.7278 0.5932 0.3553
O21 0.7437 0.4799 0.6584
O22 0.8197 0.5515 0.8446
O23 0.8274 0.9568 0.3919
O24 0.9517 0.7768 0.1742
O25 0.9623 0.2687 0.3342
O26 0.9880 0.0838 0.2013

Calculated values
Its space group is P-1. The calculation puts the uncorrected formation energy at -2234 meV/atom.



A geometry-optimized LiVP2O7 structure, computed with GGA-PBEsol.

Cell lengths 6.2904, 6.2904, 13.1487 Å; angles 105.42, 105.42, 80.45 degrees
Positions (direct):
Li1 0.0262 0.2325 0.1522
Li2 0.2325 0.0262 0.6522
Li3 0.7675 0.9738 0.3478
Li4 0.9738 0.7675 0.8478
V1 0.1290 0.5930 0.3583
V2 0.4070 0.8710 0.1417
V3 0.5930 0.1290 0.8583
V4 0.8710 0.4070 0.6417
P1 0.0875 0.2507 0.8636
P2 0.2507 0.0875 0.3636
P3 0.3315 0.4167 0.5726
P4 0.4167 0.3315 0.0726
P5 0.5833 0.6685 0.9274
P6 0.6685 0.5833 0.4274
P7 0.7493 0.9125 0.6364
P8 0.9125 0.7493 0.1364
O1 0.0224 0.5680 0.1973
O2 0.0752 0.8868 0.1207
O3 0.0957 0.2676 0.3141
O4 0.1132 0.9248 0.3793
O5 0.1861 0.3396 0.6297
O6 0.2025 0.3876 0.9804
O7 0.2128 0.6031 0.5169
O8 0.2676 0.0957 0.8141
O9 0.3396 0.1861 0.1297
O10 0.3876 0.2025 0.4804
O11 0.3969 0.7872 0.9831
O12 0.4320 0.9776 0.3027
O13 0.4420 0.5329 0.3555
O14 0.4671 0.5580 0.1445
O15 0.5329 0.4420 0.8555
O16 0.5580 0.4671 0.6445
O17 0.5680 0.0224 0.6973
O18 0.6031 0.2128 0.0169
O19 0.6124 0.7975 0.5196
O20 0.6604 0.8139 0.8703
O21 0.7324 0.9043 0.1859
O22 0.7872 0.3969 0.4831
O23 0.7975 0.6124 0.0196
O24 0.8139 0.6604 0.3703
O25 0.8868 0.0752 0.6207
O26 0.9043 0.7324 0.6859
O27 0.9248 0.1132 0.8793
O28 0.9776 0.4320 0.8027

Calculated values
Its space group is C2/c. The calculation puts the uncorrected formation energy at -2279 meV/atom.



A geometry-optimized LiVP2O7 structure, computed with GGA-PBEsol.

Cell lengths 6.3857, 6.3857, 6.6787 Å; angles 109.74, 109.74, 78.43 degrees
Positions (direct):
Li1 0.1763 0.8237 0.0000
Li2 0.8237 0.1763 0.0000
V1 0.3250 0.6750 0.5000
V2 0.6750 0.3250 0.5000
P1 0.2183 0.2183 0.5549
P2 0.3041 0.3041 0.0576
P3 0.6959 0.6959 0.9424
P4 0.7817 0.7817 0.4451
O1 0.0284 0.7167 0.5330
O2 0.1451 0.1451 0.0301
O3 0.2390 0.5540 0.1661
O4 0.2833 0.9716 0.4670
O5 0.3044 0.3044 0.8164
O6 0.3529 0.3529 0.4924
O7 0.4460 0.7610 0.8339
O8 0.5540 0.2390 0.1661
O9 0.6471 0.6471 0.5076
O10 0.6956 0.6956 0.1836
O11 0.7167 0.0284 0.5330
O12 0.7610 0.4460 0.8339
O13 0.8549 0.8549 0.9699
O14 0.9716 0.2833 0.4670

Calculated values
Its space group is C2/m. The calculation puts the uncorrected formation energy at -2263 meV/atom.